Entry 1:
Entry from Alexandria via LeMat-Bulk: crystalline Tl12Bi3As5 at its relaxed geometry (PBE-GGA).

Unit cell a=15.366 b=15.366 c=15.366 alpha=109.47 beta=109.47 gamma=109.47
Positions (direct):
As 0.625 0.875 0.250
Tl 0.917 0.826 0.545
Bi 0.375 0.625 0.250
Tl 0.781 0.455 0.371
As 0.500 0.000 0.500
Tl 0.326 0.545 0.417
Tl 0.910 0.083 0.629
Tl 0.219 0.674 0.090
Tl 0.417 0.371 0.590
Tl 0.719 0.590 0.174
Tl 0.281 0.410 0.826
Tl 0.545 0.219 0.129
As 0.000 0.000 0.500
As 0.500 0.500 0.500
Tl 0.719 0.129 0.045
As 0.250 0.375 0.625
As 0.250 0.875 0.125
Tl 0.871 0.590 0.917
As 0.000 0.000 0.000
Tl 0.045 0.629 0.719
Tl 0.326 0.781 0.410
Bi 0.625 0.250 0.375
Bi 0.875 0.125 0.250
Tl 0.045 0.417 0.826
As 0.875 0.250 0.625
Bi 0.875 0.750 0.125
As 0.000 0.500 0.500
Tl 0.826 0.910 0.281
Tl 0.545 0.326 0.917
Tl 0.955 0.371 0.281
Tl 0.910 0.826 0.781
Tl 0.674 0.455 0.583
As 0.125 0.750 0.375
Tl 0.083 0.174 0.455
Bi 0.250 0.625 0.875
Tl 0.371 0.417 0.090
Tl 0.455 0.674 0.083
As 0.500 0.500 0.000
Tl 0.174 0.090 0.719
Tl 0.174 0.083 0.955
Tl 0.129 0.410 0.083
Tl 0.917 0.090 0.871
As 0.375 0.250 0.125
Tl 0.281 0.871 0.955
As 0.375 0.125 0.750
Bi 0.375 0.750 0.625
As 0.750 0.625 0.375
Tl 0.410 0.129 0.583
Bi 0.250 0.125 0.375
Tl 0.410 0.281 0.326
Tl 0.871 0.281 0.455
Tl 0.090 0.174 0.219
As 0.750 0.125 0.875
Tl 0.590 0.719 0.674
Tl 0.629 0.583 0.910
Tl 0.826 0.917 0.045
Tl 0.371 0.955 0.781
As 0.500 0.000 0.000
Bi 0.125 0.875 0.750
Tl 0.129 0.719 0.545
As 0.875 0.625 0.750
Tl 0.583 0.955 0.674
Tl 0.417 0.045 0.326
Tl 0.590 0.871 0.417
Bi 0.750 0.875 0.625
Tl 0.219 0.545 0.629
Tl 0.083 0.910 0.129
Tl 0.781 0.326 0.910
Bi 0.625 0.375 0.750
Tl 0.674 0.219 0.590
As 0.125 0.375 0.250
Tl 0.955 0.583 0.174
Tl 0.583 0.629 0.410
As 0.000 0.500 0.000
Bi 0.750 0.375 0.125
As 0.625 0.750 0.875
Tl 0.629 0.045 0.219
Tl 0.455 0.781 0.871
Tl 0.090 0.917 0.371
Bi 0.125 0.250 0.875

Values from the calculation:
Formation energy from the elements = 0.136 eV per atom
ρ = 8.215 g/cm3

=====

Entry 2:
Entry from Alexandria via LeMat-Bulk: crystalline Li4CdS3 at its relaxed geometry (PBE-GGA).

Unit cell a=6.338 b=7.303 c=8.302 alpha=111.55 beta=90.00 gamma=115.72
Positions (direct):
Li 0.022 0.736 0.549
Li 0.951 0.236 0.419
S 0.293 0.592 0.579
Cd 0.649 0.962 0.754
Li 0.286 0.236 0.919
S 0.660 0.326 0.334
S 0.922 0.879 0.353
S 0.665 0.326 0.834
S 0.299 0.592 0.079
Li 0.714 0.736 0.049
Cd 0.312 0.962 0.254
Li 0.502 0.582 0.328
Li 0.888 0.466 0.134
Li 0.080 0.582 0.828
Li 0.578 0.466 0.634
S 0.958 0.879 0.853

Values from the calculation:
Uncorrected formation energy = -1.069 eV per atom
ρ = 2.483 g/cm3

=====

Entry 3:
Entry from Alexandria via LeMat-Bulk: crystalline KGeBi2 at its relaxed geometry (PBE-GGA).

Unit cell a=4.188 b=4.188 c=7.461 alpha=90.00 beta=90.00 gamma=90.00
Positions (direct):
Ge 0.500 0.500 0.000
Bi 0.000 0.000 0.804
Bi 0.000 0.000 0.196
K 0.500 0.500 0.500

Values from the calculation:
Formation energy from the elements = 0.001 eV per atom
ρ = 6.722 g/cm3